# 1
8
Lattice="-2.2298 2.2298 10.9521 2.2298 -2.2298 10.9521 2.2298 2.2298 -10.9521" Properties=species:S:1:pos:R:3 comment="MgHg2Bi PBE relaxed" space_group="I-42d (122)" crystal_system=tetragonal e_form_ev_per_atom=-0.03 dft_energy_ev_per_atom=-1.55 pbc="T T T"
Mg 0.0000 0.0000 0.0000
Mg 0.0000 2.2298 5.4760
Hg 3.3446 1.0279 -2.7380
Hg 1.0279 1.1149 2.7380
Hg -1.1149 1.2019 8.2140
Hg 1.2019 1.1149 13.6901
Bi 2.2298 0.0000 5.4760
Bi 0.0000 0.0000 10.9521

=====

# 2
4
Lattice="3.8484 0.0000 0.0000 0.0000 3.8484 0.0000 0.0000 0.0000 5.5825" Properties=species:S:1:pos:R:3 comment="InCu2Te PBE relaxed" space_group="P4mm (99)" relative_energy_mev_per_atom=92 crystal_system=tetragonal dft_energy_ev_per_atom=-3.37 pbc="T T T"
In 0.0000 0.0000 0.0000
Cu 0.0000 0.0000 2.7935
Cu 1.9242 1.9242 0.0399
Te 1.9242 1.9242 2.8184

=====

# 3
7
Lattice="8.7443 -1.7411 0.0000 8.7443 1.7411 0.0000 -3.9099 0.0000 7.5191" Properties=species:S:1:pos:R:3 comment="Tb2Y2Th3 PBE relaxed" space_group="C2/m (12)" relative_energy_mev_per_atom=6 crystal_system=monoclinic e_form_ev_per_atom=0.13 dft_energy_ev_per_atom=-6.22 pbc="T T T"
Tb -0.3731 0.0000 3.0358
Tb 13.9519 0.0000 4.4833
Y 5.5181 0.0000 1.2479
Y 8.0607 0.0000 6.2712
Th 2.2738 0.0000 5.3042
Th 8.7443 0.0000 0.0000
Th 11.3050 0.0000 2.2149

=====

# 4
8
Lattice="3.5789 0.0000 0.0000 0.0000 6.3480 0.0000 0.0000 0.0000 6.3059" Properties=species:S:1:pos:R:3 comment="Pr2HN PBE relaxed" space_group="Pmmn (59)" crystal_system=orthorhombic dft_energy_ev_per_atom=-5.96 pbc="T T T"
Pr 0.8947 0.0329 1.4745
Pr 0.8947 3.1411 1.4745
Pr 2.6842 3.2069 4.8314
Pr 2.6842 6.3151 4.8314
H 0.8947 1.5870 3.7965
H 2.6842 4.7610 2.5094
N 0.8947 4.7610 5.8932
N 2.6842 1.5870 0.4127

=====

# 5
5
Lattice="5.0865 0.0000 0.0000 0.0000 5.0865 0.0000 0.0000 0.0000 5.0865" Properties=species:S:1:pos:R:3 comment="ZnNiHg3 PBE relaxed" space_group="Pm-3m (221)" relative_energy_mev_per_atom=0 crystal_system=cubic e_form_ev_per_atom=0.26 dft_energy_ev_per_atom=-1.33 pbc="T T T"
Zn 0.0000 0.0000 0.0000
Ni 2.5433 2.5433 2.5433
Hg 0.0000 2.5433 2.5433
Hg 2.5433 0.0000 2.5433
Hg 2.5433 2.5433 0.0000

=====

# 6
11
Lattice="6.2550 -5.4845 0.0000 6.2550 5.4845 0.0000 -2.6695 0.0000 5.1335" Properties=species:S:1:pos:R:3 comment="Er7Tm3Th PBE relaxed" space_group="C2/m (12)" relative_energy_mev_per_atom=165 crystal_system=monoclinic e_form_ev_per_atom=0.32 dft_energy_ev_per_atom=-4.47 pbc="T T T"
Er 0.0000 0.0000 0.0000
Er 2.9781 2.2598 1.5521
Er 1.5558 0.0000 4.0770
Er 6.8624 2.2598 3.5813
Er 2.9781 -2.2598 1.5521
Er 8.2847 0.0000 1.0565
Er 6.8624 -2.2598 3.5813
Tm 6.2550 2.2382 0.0000
Tm 4.9202 0.0000 2.5667
Tm 6.2550 -2.2382 0.0000
Th -1.3347 0.0000 2.5667

=====

Calculated ρ (g/cm3), listed in the same order as above: 9.7 7.4 8.6 6.9 9.2 9.0